[1]
Below is an optimized crystal structure of Y2ZrAu, with properties calculated at the GGA-PBEsol level.

Cell: 4.3403 4.3403 5.7978 Å, 111.98 111.98 90.00°
Atoms (fractional coordinates):
Y (0.7500, 0.2500, 0.5000)
Y (0.0000, 0.0000, 0.0000)
Zr (0.5000, 0.5000, 0.0000)
Au (0.2500, 0.7500, 0.5000)

Values from the calculation:
The size of the total moment comes out at 0.0 Bohr magnetons per cell. Its symmetry is I-4m2, No. 119. The calculation puts the energy of formation at -0.68 eV per formula unit. As for the crystal system: tetragonal.

[2]
Below is an optimized crystal structure of YZrAu, with properties calculated at the GGA-PBEsol level.

Cell: 3.6118 4.7087 4.7087 Å, 120.00 90.00 90.00°
Atoms (fractional coordinates):
Au (0.0938, 0.0000, 0.0000)
Y (0.6825, 0.3333, 0.6667)
Zr (0.2237, 0.6667, 0.3333)

Values from the calculation:
Its excess energy over the best structure of this formula in the dataset is 0.0 meV per atom. The size of the total moment comes out at 0.0 Bohr magnetons per cell. Its symmetry is P3m1, No. 156. The calculation puts the energy of formation at -0.74 eV per formula unit. As for the crystal system: trigonal.

| no. | N(E_F) (states/eV/f.u.) |
| --- | --- |
| 1 | 6.0 |
| 2 | 3.1 |